# Tb2Pm4DyEr2

Crystalline Tb2Pm4DyEr2 at its relaxed geometry (PBE-GGA, Alexandria).

Cell and atoms, written as CIF:
```
data_Tb2Pm4DyEr2
_cell_length_a 15.235
_cell_length_b 5.069
_cell_length_c 8.010
_cell_angle_alpha 90.00
_cell_angle_beta 108.47
_cell_angle_gamma 90.00
_space_group_name_H-M_alt 'C 1 2/m 1'
_space_group_IT_number 12
loop_
_space_group_symop_operation_xyz
'x,y,z'
'-x,-y,-z'
'-x,y,-z'
'x,-y,z'
'x+1/2,y+1/2,z'
'-x+1/2,-y+1/2,-z'
'-x+1/2,y+1/2,-z'
'x+1/2,-y+1/2,z'
loop_
_atom_site_label
_atom_site_fract_x
_atom_site_fract_y
_atom_site_fract_z
Tb1 0.111 0.000 0.169
Pm1 0.054 0.500 0.831
Pm2 0.222 0.000 0.832
Dy1 0.000 0.000 0.500
Er1 0.167 0.500 0.500
```

* density of states at the Fermi level: 26.31 states/eV/cell
* final energy: -4.647 eV/atom